Entry 1:
A PBEsol-optimized structure of Cd2MoWO8. Source: Alexandria, functional meta-GGA SCAN.

Cell and atoms, written as POSCAR:
```
Cd2MoWO8
1.0
-2.472 4.297 -1.470
-4.437 -1.929 1.824
4.490 1.100 4.757
W O Mo Cd
1 8 1 2
Direct
0.750 0.250 0.500
0.502 0.407 0.322
0.673 0.751 0.823
0.150 0.072 0.823
0.085 0.498 0.678
0.821 0.915 0.322
0.593 0.179 0.678
0.249 0.850 0.177
0.928 0.327 0.177
0.000 0.000 0.000
0.250 0.750 0.500
0.500 0.500 0.000
```

The crystal system is tetragonal. As for the energy relative to the elements, uncorrected: -1963 meV per atom.



Entry 2:
A PBEsol-optimized structure of TiAlGaAs2. Source: Alexandria, functional meta-GGA SCAN.

Cell and atoms, written as POSCAR:
```
TiAlGaAs2
1.0
4.759 0.000 0.000
0.000 4.759 0.000
0.000 0.000 4.863
Al Ti Ga As
1 1 1 2
Direct
0.500 0.500 0.500
0.000 0.000 0.500
0.000 0.000 0.000
0.000 0.500 0.000
0.500 0.000 0.000
```

The crystal system is tetragonal. The energy of formation comes out at 0.765 eV per atom.



Entry 3:
A PBEsol-optimized structure of HgPW2. Source: Alexandria, functional meta-GGA SCAN.

Cell and atoms, written as POSCAR:
```
HgPW2
1.0
2.946 0.000 0.000
1.473 2.552 0.000
1.473 0.851 8.986
P W Hg
1 2 1
Direct
0.264 0.264 0.209
0.742 0.742 0.773
0.994 0.994 0.017
0.500 0.500 0.500
```

The crystal system is trigonal. The energy of formation comes out at 0.453 eV per atom.



Entry 4:
A PBEsol-optimized structure of RbTiRu3. Source: Alexandria, functional meta-GGA SCAN.

Cell and atoms, written as POSCAR:
```
RbTiRu3
1.0
4.549 0.000 0.000
0.000 4.549 0.000
0.000 0.000 4.549
Ti Ru Rb
1 3 1
Direct
0.500 0.500 0.500
0.500 0.000 0.000
0.000 0.500 0.000
0.000 0.000 0.500
0.000 0.000 0.000
```

The crystal system is cubic. The energy of formation comes out at 2.898 eV per atom.



Entry 5:
A PBEsol-optimized structure of YCoPb2. Source: Alexandria, functional meta-GGA SCAN.

Cell and atoms, written as POSCAR:
```
YCoPb2
1.0
-0.750 -0.978 4.168
-4.139 -1.418 -1.077
1.604 -4.162 -0.688
Pb Y Co
2 1 1
Direct
0.000 0.500 0.500
0.000 0.000 0.000
0.500 0.500 0.000
0.500 0.000 0.500
```

The crystal system is tetragonal. The energy of formation comes out at -0.077 eV per atom.



Entry 6:
A PBEsol-optimized structure of LiMnP. Source: Alexandria, functional meta-GGA SCAN.

Cell and atoms, written as POSCAR:
```
LiMnP
1.0
3.594 0.000 0.000
0.000 3.594 0.000
0.000 0.000 6.118
P Mn Li
2 2 2
Direct
0.000 0.500 0.773
0.500 0.000 0.227
0.500 0.500 0.000
0.000 0.000 0.000
0.500 0.000 0.649
0.000 0.500 0.351
```

The crystal system is tetragonal. The energy of formation comes out at -0.696 eV per atom.



Entry 7:
A PBEsol-optimized structure of AgPb2. Source: Alexandria, functional meta-GGA SCAN.

Cell and atoms, written as POSCAR:
```
AgPb2
1.0
-0.137 3.330 0.560
-6.688 -0.433 0.879
2.669 -2.607 5.910
Ag Pb
2 4
Direct
0.500 0.744 0.999
0.500 0.256 0.001
0.851 0.424 0.702
0.149 0.576 0.298
0.145 0.073 0.291
0.855 0.927 0.709
```

The crystal system is triclinic. The energy of formation comes out at 0.073 eV per atom.



Entry 8:
A PBEsol-optimized structure of BaW2Cl. Source: Alexandria, functional meta-GGA SCAN.

Cell and atoms, written as POSCAR:
```
BaW2Cl
1.0
-0.924 -1.595 -2.654
-2.547 -1.421 1.741
-3.539 6.860 -2.892
W Cl Ba
2 1 1
Direct
0.500 0.220 0.440
0.000 0.792 0.583
0.500 0.923 0.847
0.000 0.562 0.125
```

The crystal system is orthorhombic. As for the energy relative to the elements, uncorrected: 133 meV per atom.



Entry 9:
A PBEsol-optimized structure of Li3TlSb. Source: Alexandria, functional meta-GGA SCAN.

Cell and atoms, written as POSCAR:
```
Li3TlSb
1.0
-0.052 0.250 -5.111
0.214 -5.107 -0.252
-5.113 -0.216 0.042
Li Tl Sb
3 1 1
Direct
0.500 0.000 0.000
0.000 0.000 0.500
0.000 0.500 0.000
0.500 0.500 0.500
0.000 0.000 0.000
```

The crystal system is cubic. As for the energy relative to the elements, uncorrected: -224 meV per atom.



Entry 10:
A PBEsol-optimized structure of TmTlSe2. Source: Alexandria, functional meta-GGA SCAN.

Cell and atoms, written as POSCAR:
```
TmTlSe2
1.0
4.048 0.000 0.000
2.024 3.506 0.000
2.024 1.169 7.621
Tm Tl Se
1 1 2
Direct
0.000 0.000 0.000
0.500 0.500 0.500
0.265 0.265 0.206
0.735 0.735 0.794
```

The crystal system is trigonal. As for the energy relative to the elements, uncorrected: -1525 meV per atom.



Entry 11:
A PBEsol-optimized structure of SbPPb. Source: Alexandria, functional meta-GGA SCAN.

Cell and atoms, written as POSCAR:
```
SbPPb
1.0
-3.406 0.942 0.679
0.474 -0.793 3.478
3.097 5.127 -1.114
Pb Sb P
1 1 1
Direct
0.655 0.655 0.310
0.370 0.370 0.740
0.975 0.975 0.950
```

The crystal system is tetragonal. As for the energy relative to the elements, uncorrected: 288 meV per atom.



Entry 12:
A PBEsol-optimized structure of CaSn2Sb2. Source: Alexandria, functional meta-GGA SCAN.

Cell and atoms, written as POSCAR:
```
CaSn2Sb2
1.0
4.397 0.000 0.000
0.000 4.397 0.000
-2.199 -2.199 7.644
Sn Sb Ca
2 2 1
Direct
0.406 0.406 0.811
0.594 0.594 0.189
0.250 0.750 0.500
0.750 0.250 0.500
0.000 0.000 0.000
```

The crystal system is tetragonal. As for the energy relative to the elements, uncorrected: -72 meV per atom.